Computed, not measured: crystalline Th4FeSe2S at its relaxed geometry at the PBE level of DFT.

Unit cell a=7.230 b=3.988 c=7.442 alpha=90.00 beta=108.70 gamma=90.00
Space group P2/m (No. 10)
One atom of each set of equivalent atoms:
Th 0.219 0.000 0.213 x2
Th 0.252 0.500 0.771 x2
Fe 0.000 0.500 0.000 x1
Se 0.000 0.000 0.500 x1
Se 0.500 0.500 0.500 x1
S 0.500 0.000 0.000 x1

**Crystal system**: monoclinic
**Uncorrected energy**: -59.3 eV/cell

Computed, not measured: crystalline VFeSeS2 at its relaxed geometry at the PBE level of DFT.

Unit cell a=4.119 b=4.119 c=5.130 alpha=90.00 beta=90.00 gamma=90.00
Space group P4/mmm (No. 123)
One atom of each set of equivalent atoms:
V 0.000 0.000 0.000 x1
Fe 0.000 0.000 0.500 x1
Se 0.500 0.500 0.000 x1
S 0.000 0.500 0.500 x2

**Crystal system**: tetragonal
**Uncorrected energy**: -26.6 eV/cell

Computed, not measured: crystalline YFe2SeS at its relaxed geometry at the PBE level of DFT.

Unit cell a=4.275 b=4.275 c=5.762 alpha=90.00 beta=90.00 gamma=90.00
Space group P4/mmm (No. 123)
One atom of each set of equivalent atoms:
Y 0.000 0.000 0.000 x1
Fe 0.000 0.500 0.500 x2
Se 0.500 0.500 0.500 x1
S 0.500 0.500 0.000 x1

**Crystal system**: tetragonal
**Uncorrected energy**: -30.4 eV/cell

Computed, not measured: crystalline FeSi2S at its relaxed geometry at the PBE level of DFT.

Unit cell a=5.419 b=5.419 c=9.669 alpha=90.00 beta=90.00 gamma=90.00
Space group I-42d (No. 122)
One atom of each set of equivalent atoms:
Fe 0.000 0.000 0.000 x4
Si 0.226 0.250 0.125 x8
S 0.000 0.000 0.500 x4

**Crystal system**: tetragonal
**Uncorrected energy**: -89.7 eV/cell

Computed, not measured: crystalline FeSiS at its relaxed geometry at the PBE level of DFT.

Unit cell a=9.323 b=2.751 c=6.814 alpha=90.00 beta=90.00 gamma=90.00
Space group Amm2 (No. 38)
One atom of each set of equivalent atoms:
Fe 0.138 0.000 0.000 x4
Si 0.000 0.000 0.280 x2
Si 0.500 0.000 0.338 x2
S 0.310 0.000 0.554 x4

**Crystal system**: orthorhombic
**Uncorrected energy**: -72.3 eV/cell

Computed, not measured: crystalline FeSiS at its relaxed geometry at the PBE level of DFT.

Unit cell a=6.707 b=2.819 c=5.232 alpha=90.00 beta=118.59 gamma=90.00
Space group Cm (No. 8)
One atom of each set of equivalent atoms:
Fe 0.000 0.000 0.000 x2
Si 0.384 0.000 0.265 x2
S 0.096 0.500 0.753 x2

**Crystal system**: monoclinic
**Uncorrected energy**: -36.9 eV/cell

Computed, not measured: crystalline Fe2SiS4 at its relaxed geometry at the PBE level of DFT.

Unit cell a=5.506 b=6.778 c=11.997 alpha=90.00 beta=90.14 gamma=90.00
Space group P2/m (No. 10)
One atom of each set of equivalent atoms:
Fe 0.000 0.000 0.000 x1
Fe 0.000 0.000 0.500 x1
Fe 0.000 0.259 0.240 x4
Fe 0.000 0.500 0.500 x1
Fe 0.500 0.500 0.000 x1
Si 0.414 0.500 0.325 x2
Si 0.417 0.000 0.840 x2
S 0.187 0.000 0.164 x2
S 0.195 0.500 0.667 x2
S 0.224 0.261 0.405 x4
S 0.226 0.000 0.683 x2
S 0.248 0.249 0.920 x4
S 0.253 0.500 0.162 x2

**Crystal system**: monoclinic
**Offset from the most stable computed form**: 58 meV per atom
**Uncorrected energy**: -163.8 eV/cell

Computed, not measured: crystalline FeSiS at its relaxed geometry at the PBE level of DFT.

Unit cell a=7.959 b=2.759 c=3.948 alpha=90.00 beta=95.23 gamma=90.00
Space group Cm (No. 8)
One atom of each set of equivalent atoms:
Fe 0.000 0.000 0.000 x2
Si 0.012 0.500 0.481 x2
S 0.216 0.500 0.893 x2

**Crystal system**: monoclinic
**Uncorrected energy**: -36.3 eV/cell

Computed, not measured: crystalline FeSiS at its relaxed geometry at the PBE level of DFT.

Unit cell a=3.9815 b=3.9815 c=8.7583 alpha=90.00 beta=90.00 gamma=120.00
Space group R3m (No. 160, hexagonal axes)
One atom of each set of equivalent atoms:
Fe 0.0000 0.0000 0.0000 x3
Si 0.0000 0.0000 0.7383 x3
S 0.0000 0.0000 0.2674 x3

**Crystal system**: trigonal
**Uncorrected energy**: -53.9 eV/cell

Computed, not measured: crystalline FeSiS at its relaxed geometry at the PBE level of DFT.

Unit cell a=7.606 b=2.787 c=5.120 alpha=90.00 beta=127.10 gamma=90.00
Space group Cm (No. 8)
One atom of each set of equivalent atoms:
Fe 0.000 0.000 0.000 x2
Si 0.322 0.000 0.547 x2
S 0.342 0.000 0.129 x2

**Crystal system**: monoclinic
**Uncorrected energy**: -36.6 eV/cell

Computed, not measured: crystalline Fe2SiS4 at its relaxed geometry at the PBE level of DFT.

Unit cell a=9.866 b=9.866 c=9.866 alpha=90.00 beta=90.00 gamma=90.00
Space group Fd-3m (No. 227, origin choice 2)
One atom of each set of equivalent atoms:
Fe 0.000 0.000 0.000 x16
Si 0.125 0.125 0.625 x8
S 0.003 0.003 0.247 x32

**Crystal system**: cubic
**Offset from the most stable computed form**: 56 meV per atom
**Uncorrected energy**: -327.7 eV/cell

Computed, not measured: crystalline FeSiS at its relaxed geometry at the PBE level of DFT.

Unit cell a=3.221 b=2.674 c=5.097 alpha=90.00 beta=105.45 gamma=90.00
Space group Pm (No. 6)
One atom of each set of equivalent atoms:
Fe 0.000 0.000 0.000 x1
Si 0.413 0.500 0.773 x1
S 0.003 0.500 0.341 x1

**Crystal system**: monoclinic
**Uncorrected energy**: -18.4 eV/cell

Computed, not measured: crystalline FeSiS2 at its relaxed geometry at the PBE level of DFT.

Unit cell a=5.167 b=5.167 c=10.234 alpha=90.00 beta=90.00 gamma=90.00
Space group I-42d (No. 122)
One atom of each set of equivalent atoms:
Fe 0.000 0.000 0.000 x4
Si 0.000 0.000 0.500 x4
S 0.246 0.250 0.125 x8

**Crystal system**: tetragonal
**Uncorrected energy**: -89.9 eV/cell